PaNi4Ge | the Alexandria database | GGA-PBE | optimized geometry; ΔE to the lowest computed polymorph = 0 meV/atom; energy of formation = -0.393 eV/atom; E = -6.5997 eV/atom; magnetic moment = 0.0 μB/cell
1.0
1.9324 -7.7383 0.0000
1.9324 7.7383 0.0000
0.0000 0.0000 5.7107
Pa Ni Ge
2 8 2
Direct
0.1066 0.8934 0.7500
0.8934 0.1066 0.2500
0.0707 0.9293 0.2500
0.3413 0.6587 0.5470
0.3413 0.6587 0.9530
0.5000 0.5000 0.0000
0.5000 0.5000 0.5000
0.6587 0.3413 0.0470
0.6587 0.3413 0.4530
0.9293 0.0707 0.7500
0.2312 0.7688 0.2500
0.7688 0.2312 0.7500

***

PmIn3Br7 | the Alexandria database | GGA-PBE | optimized geometry; E = -3.3037 eV/atom; magnetic moment = 0.0 μB/cell; formation energy (no corrections) = -24.453 kcal/mol of atoms
1.0
5.4494 -5.2986 0.0000
5.4494 5.2986 0.0000
-2.4076 0.0000 7.1937
Pm In Br
1 3 7
Direct
0.0000 0.0000 0.0000
0.2434 0.7928 0.5199
0.5466 0.5466 0.0898
0.7928 0.2434 0.5199
0.0434 0.6523 0.7728
0.1584 0.1584 0.7575
0.3547 0.9551 0.2235
0.5058 0.5058 0.4801
0.6523 0.0434 0.7728
0.8607 0.8607 0.2714
0.9551 0.3547 0.2235

***

Dy2Y5HoTh | the Alexandria database | GGA-PBE | optimized geometry; energy of formation = 0.162 eV/atom; E = -5.7847 eV/atom; magnetic moment = 0.0 μB/cell
1.0
2.8560 -10.7852 0.0000
2.8560 10.7852 0.0000
0.0000 0.0000 9.7254
Dy Y Ho Th
4 10 2 2
Direct
0.1152 0.8848 0.5000
0.1287 0.8713 0.8848
0.8713 0.1287 0.3848
0.8848 0.1152 0.0000
0.0144 0.9856 0.1873
0.2701 0.7299 0.4996
0.3043 0.6957 0.8874
0.3944 0.6056 0.2130
0.4700 0.5300 0.9142
0.5300 0.4700 0.4142
0.6056 0.3944 0.7130
0.6957 0.3043 0.3874
0.7299 0.2701 0.9996
0.9856 0.0144 0.6873
0.1888 0.8112 0.1898
0.8112 0.1888 0.6898
0.4038 0.5962 0.5946
0.5962 0.4038 0.0946

***

BaCaBi | the Alexandria database | GGA-PBE | optimized geometry; ΔE to the lowest computed polymorph = 193 meV/atom; energy of formation = -0.650 eV/atom; E = -3.2513 eV/atom; magnetic moment = 0.0 μB/cell
1.0
8.0515 0.0000 0.0000
0.0000 8.0515 0.0000
0.0000 0.0000 8.0515
Ba Ca Bi
4 4 4
Direct
0.0000 0.0000 0.0000
0.0000 0.5000 0.5000
0.5000 0.0000 0.5000
0.5000 0.5000 0.0000
0.0000 0.0000 0.5000
0.0000 0.5000 0.0000
0.5000 0.0000 0.0000
0.5000 0.5000 0.5000
0.2500 0.2500 0.7500
0.2500 0.7500 0.2500
0.7500 0.2500 0.2500
0.7500 0.7500 0.7500

***

Which of these has the highest E? BaCaBi

***

Look up the magnetic moment of the second one. 0.0 μB/cell

***

What did the second record say?
PmIn3Br7 | the Alexandria database | GGA-PBE | optimized geometry; E = -3.3037 eV/atom; magnetic moment = 0.0 μB/cell; formation energy (no corrections) = -24.453 kcal/mol of atoms
1.0
5.4494 -5.2986 0.0000
5.4494 5.2986 0.0000
-2.4076 0.0000 7.1937
Pm In Br
1 3 7
Direct
0.0000 0.0000 0.0000
0.2434 0.7928 0.5199
0.5466 0.5466 0.0898
0.7928 0.2434 0.5199
0.0434 0.6523 0.7728
0.1584 0.1584 0.7575
0.3547 0.9551 0.2235
0.5058 0.5058 0.4801
0.6523 0.0434 0.7728
0.8607 0.8607 0.2714
0.9551 0.3547 0.2235

***

E of number 2 (PmIn3Br7)? -3.3037 eV/atom